# 1
The following is a GGA-PBE calculation of a geometry-optimized CrAgOs2 structure, from Alexandria.

Calculated values
* magnetization: 0.000 μB per atom
* symmetry: No. 122
* offset from the most stable computed form: 0.6174 eV per atom
* energy of formation: 892 meV per atom
* calculated volume: 16.08 Å³/atom

a b c (Å): 5.619 5.619 5.619
angles (deg): 102.18 102.18 125.32
Positions (direct):
Cr: 0.000 0.000 0.000
Cr: 0.750 0.250 0.500
Ag: 0.250 0.750 0.500
Ag: 0.500 0.500 0.000
Os: 0.068 0.125 0.443
Os: 0.375 0.932 0.057
Os: 0.682 0.625 0.557
Os: 0.875 0.318 0.943

=====

# 2
The following is a GGA-PBE calculation of a geometry-optimized ZrCoMo2 structure, from Alexandria.

Calculated values
* magnetization: 0.140 μB per atom
* symmetry: No. 123
* offset from the most stable computed form: 0.1882 eV per atom
* energy of formation: 171 meV per atom
* calculated volume: 15.93 Å³/atom

a b c (Å): 2.749 2.749 8.427
angles (deg): 90.00 90.00 90.00
Positions (direct):
Zr: 0.000 0.000 0.000
Co: 0.000 0.000 0.500
Mo: 0.500 0.500 0.291
Mo: 0.500 0.500 0.709

=====

# 3
The following is a GGA-PBE calculation of a geometry-optimized CsSrBiI6 structure, from Alexandria.

Calculated values
* magnetization: 0.000 μB per atom
* uncorrected formation energy: -1.12 eV/atom
* symmetry: No. 149
* calculated volume: 56.36 Å³/atom

a b c (Å): 8.342 8.342 8.416
angles (deg): 90.00 90.00 120.00
Positions (direct):
Cs: 0.000 0.000 0.000
Sr: 0.333 0.667 0.500
Bi: 0.667 0.333 0.500
I: 0.384 0.017 0.720
I: 0.384 0.367 0.280
I: 0.633 0.017 0.280
I: 0.633 0.616 0.720
I: 0.983 0.367 0.720
I: 0.983 0.616 0.280

=====

# 4
The following is a GGA-PBE calculation of a geometry-optimized HgMoBr2 structure, from Alexandria.

Calculated values
* magnetization: 0.543 μB per atom
* uncorrected formation energy: 0.00 eV/atom
* symmetry: No. 8
* offset from the most stable computed form: 0.0323 eV per atom
* calculated volume: 31.17 Å³/atom

a b c (Å): 5.700 5.700 7.511
angles (deg): 111.96 111.96 33.71
Positions (direct):
Hg: 0.000 0.000 0.000
Mo: 0.736 0.736 0.000
Br: 0.179 0.179 0.711
Br: 0.335 0.335 0.289